Entry 1:
Entry from Alexandria: crystalline InAg2Cl at its relaxed geometry (PBEsol).

The structure belongs to space group C2/m (No. 12); the cell edges are 5.814, 10.053 and 3.321 Å and the angles 90.00°, 124.73° and 90.00°. Symmetry generates all atoms from In at (0.000, 0.000, 0.000), Ag at (0.250, 0.250, 0.000) and Cl at (0.000, 0.500, 0.000).

The raw formation energy is -0.280 eV per formula unit.

=====

Entry 2:
Entry from Alexandria: crystalline Cu2TeCl at its relaxed geometry (PBEsol).

The structure belongs to space group Pm (No. 6); the cell edges are 3.467, 3.800 and 6.330 Å and the angles 90.00°, 90.11° and 90.00°. Symmetry generates all atoms from Cu at (0.000, 0.000, 0.000), Cu at (0.500, 0.500, 0.037), Te at (0.501, 0.000, 0.304) and Cl at (0.000, 0.500, 0.767).

The raw formation energy is -0.792 eV per formula unit.

=====

Entry 3:
Entry from Alexandria: crystalline Cs3SbF at its relaxed geometry (PBEsol).

The structure belongs to space group Pm-3m (No. 221); the cell edges are 5.805, 5.805 and 5.805 Å and the angles 90.00°, 90.00° and 90.00°. Symmetry generates all atoms from Cs at (0.000, 0.000, 0.500), Sb at (0.500, 0.500, 0.500) and F at (0.000, 0.000, 0.000).

The raw formation energy is -6.243 eV per formula unit.

=====

Entry 4:
Entry from Alexandria: crystalline MgSc2PW at its relaxed geometry (PBEsol).

The structure belongs to space group P4/mmm (No. 123); the cell edges are 4.808, 4.808 and 4.545 Å and the angles 90.00°, 90.00° and 90.00°. Symmetry generates all atoms from Mg at (0.000, 0.000, 0.000), Sc at (0.000, 0.500, 0.500), P at (0.000, 0.000, 0.500) and W at (0.500, 0.500, 0.000).

Its raw total energy is -32.20 eV/cell.

=====

Entry 5:
Entry from Alexandria: crystalline Mg3FeBi at its relaxed geometry (PBEsol).

The structure belongs to space group Pm-3m (No. 221); the cell edges are 4.908, 4.908 and 4.908 Å and the angles 90.00°, 90.00° and 90.00°. Symmetry generates all atoms from Mg at (0.000, 0.000, 0.500), Fe at (0.000, 0.000, 0.000) and Bi at (0.500, 0.500, 0.500).

Its raw total energy is -15.96 eV/cell.

=====

Entry 6:
Entry from Alexandria: crystalline MgBePt2 at its relaxed geometry (PBEsol).

The structure belongs to space group Pmm2 (No. 25); the cell edges are 2.771, 3.593 and 5.691 Å and the angles 90.00°, 90.00° and 90.00°. Symmetry generates all atoms from Mg at (0.000, 0.000, 0.000), Be at (0.500, 0.500, 0.671), Pt at (0.000, 0.000, 0.546) and Pt at (0.500, 0.500, 0.239).

Its raw total energy is -21.67 eV/cell.

=====

Entry 7:
Entry from Alexandria: crystalline ZnMo at its relaxed geometry (PBEsol).

The structure belongs to space group P6_3/mmc (No. 194); the cell edges are 3.7569, 3.7569 and 5.1623 Å and the angles 90.00°, 90.00° and 120.00°. Symmetry generates all atoms from Zn at (0.0000, 0.0000, 0.0000) and Mo at (0.3333, 0.6667, 0.2500).

Its raw total energy is -23.14 eV/cell.

=====

Entry 8:
Entry from Alexandria: crystalline LiAlFeO4 at its relaxed geometry (PBEsol).

The structure belongs to space group Pnma (No. 62); the cell edges are 9.111, 2.795 and 9.941 Å and the angles 90.00°, 90.00° and 90.00°. Symmetry generates all atoms from Li at (0.085, 0.250, 0.128), Al at (0.000, 0.250, 0.626), Fe at (0.223, 0.750, 0.850), O at (0.081, 0.750, 0.719), O at (0.107, 0.250, 0.464), O at (0.134, 0.250, 0.939) and O at (0.170, 0.750, 0.259).

The raw formation energy is -14.486 eV per formula unit.

=====

Entry 9:
Entry from Alexandria: crystalline Bi2CN at its relaxed geometry (PBEsol).

The structure belongs to space group Fm-3m (No. 225); the cell edges are 6.323, 6.323 and 6.323 Å and the angles 90.00°, 90.00° and 90.00°. Symmetry generates all atoms from Bi at (0.250, 0.250, 0.250), C at (0.000, 0.000, 0.000) and N at (0.000, 0.000, 0.500).

The raw formation energy is 6.777 eV per formula unit.

=====

Entry 10:
Entry from Alexandria: crystalline Mg2TlRu at its relaxed geometry (PBEsol).

The structure belongs to space group F-43m (No. 216); the cell edges are 6.575, 6.575 and 6.575 Å and the angles 90.00°, 90.00° and 90.00°. Symmetry generates all atoms from Mg at (0.000, 0.000, 0.000), Mg at (0.250, 0.250, 0.250), Tl at (0.000, 0.000, 0.500) and Ru at (0.250, 0.250, 0.750).

Its raw total energy is -62.23 eV/cell.

=====

Entry 11:
Entry from Alexandria: crystalline CeAs2Au at its relaxed geometry (PBEsol).

The structure belongs to space group P4/nmm (No. 129, origin choice 2); the cell edges are 4.067, 4.067 and 9.727 Å and the angles 90.00°, 90.00° and 90.00°. Symmetry generates all atoms from Ce at (0.250, 0.250, 0.230), As at (0.250, 0.250, 0.693), As at (0.250, 0.750, 0.000) and Au at (0.250, 0.750, 0.500).

Its raw total energy is -47.91 eV/cell.

=====

Entry 12:
Entry from Alexandria: crystalline Sr2ZrZn at its relaxed geometry (PBEsol).

The structure belongs to space group F-43m (No. 216); the cell edges are 7.645, 7.645 and 7.645 Å and the angles 90.00°, 90.00° and 90.00°. Symmetry generates all atoms from Sr at (0.000, 0.000, 0.000), Sr at (0.250, 0.250, 0.250), Zr at (0.250, 0.250, 0.750) and Zn at (0.000, 0.000, 0.500).

Its raw total energy is -49.18 eV/cell.

=====

Number 1: total magnetization 0.00 μB per cell. Number 2: total magnetization 0.00 μB per cell. Number 3: total magnetization 1.02 μB per cell. Number 4: total magnetization 1.05 μB per cell. Number 5: total magnetization 1.93 μB per cell. Number 6: total magnetization 0.00 μB per cell. Number 7: total magnetization 0.00 μB per cell. Number 8: total magnetization 8.00 μB per cell. Number 9: total magnetization 0.00 μB per cell. Number 10: total magnetization 0.00 μB per cell. Number 11: total magnetization 0.65 μB per cell. Number 12: total magnetization 0.00 μB per cell.